Hf6Re2O: optimized geometry, GGA-PBE.

Cell: 5.8961 6.4206 10.5389 Å, 90.00 120.97 90.00°
Space group P2_1/c (No. 14)
Asymmetric unit:
Hf  0.1230  0.1857  0.4513 x4
Hf  0.2806  0.6811  0.4524 x4
Hf  0.3682  0.0224  0.2560 x4
Re  0.1800  0.1034  0.7400 x4
O  0.5000  0.0000  0.5000 x2

Results
Total moment in μB/f.u.: 0.000
Crystal system: monoclinic
Formation energy (no corrections) in eV/atom: -0.6009

***

CeYTiAl: optimized geometry, GGA-PBE.

Cell: 7.3092 7.3092 7.3092 Å, 90.00 90.00 90.00°
Space group F-43m (No. 216)
Asymmetric unit:
Ce  0.0000  0.0000  0.0000 x4
Y  0.0000  0.0000  0.5000 x4
Ti  0.2500  0.2500  0.2500 x4
Al  0.2500  0.2500  0.7500 x4

Results
Total moment in μB/f.u.: 3.240
Crystal system: cubic
Raw total energy in eV/atom: -6.04

***

Gd2MgTl: optimized geometry, GGA-PBE.

Cell: 3.8438 3.8438 7.5220 Å, 90.00 90.00 90.00°
Space group P4/mmm (No. 123)
Asymmetric unit:
Gd  0.0000  0.0000  0.2494 x2
Mg  0.5000  0.5000  0.0000 x1
Tl  0.5000  0.5000  0.5000 x1

Results
Total moment in μB/f.u.: 15.007
Crystal system: tetragonal
Raw total energy in eV/atom: -8.30

***

V5CrRe2: optimized geometry, GGA-PBE.

Cell: 5.1006 10.0131 4.2859 Å, 90.00 90.00 90.00°
Space group Pbam (No. 55)
Asymmetric unit:
V  0.0000  0.0000  0.0000 x2
V  0.1468  0.2556  0.0000 x4
V  0.1647  0.6159  0.5000 x4
Cr  0.0000  0.5000  0.0000 x2
Re  0.1705  0.8751  0.5000 x4

Results
Total moment in μB/f.u.: 0.000
Crystal system: orthorhombic
Raw total energy in eV/atom: -10.15